A relaxed ErIn2I5 crystal. Source: Alexandria via LeMat-Bulk, functional PBE-GGA.

a = 9.484 Å, b = 9.548 Å, c = 13.924 Å
α = 90.00°, β = 90.00°, γ = 90.00°
Fractional coordinates of all 32 atoms:
Er 0.422 0.250 0.507
Er 0.578 0.750 0.493
Er 0.922 0.750 0.993
Er 0.078 0.250 0.007
In 0.390 0.502 0.833
In 0.610 0.498 0.167
In 0.890 0.498 0.667
In 0.610 0.002 0.167
In 0.110 0.502 0.333
In 0.390 0.998 0.833
In 0.110 0.998 0.333
In 0.890 0.002 0.667
I 0.082 0.250 0.503
I 0.918 0.750 0.497
I 0.582 0.750 0.997
I 0.418 0.250 0.003
I 0.327 0.950 0.557
I 0.673 0.050 0.443
I 0.827 0.050 0.943
I 0.673 0.450 0.443
I 0.173 0.950 0.057
I 0.327 0.550 0.557
I 0.173 0.550 0.057
I 0.827 0.450 0.943
I 0.135 0.250 0.793
I 0.865 0.750 0.207
I 0.635 0.750 0.707
I 0.365 0.250 0.293
I 0.573 0.250 0.701
I 0.427 0.750 0.299
I 0.073 0.750 0.799
I 0.927 0.250 0.201

## Properties
N(E_F) (states/eV/cell): 0.00
Formation energy (no corrections) (eV per atom): -0.90
Magnetic moment (μB per atom): 0.0000
Electronic total energy (hartree per atom): -0.1147